The following is a DFT calculation (GGA-PBE) of an optimized crystal structure of Fe3TcH.

Geometry as POSCAR:
```
Fe3TcH
1.0
3.6114 0.0000 0.0000
0.0000 3.6114 0.0000
0.0000 0.0000 3.6114
Fe Tc H
3 1 1
Direct
0.0000 0.0000 0.5000
0.5000 0.0000 0.0000
0.0000 0.5000 0.0000
0.5000 0.5000 0.5000
0.0000 0.0000 0.0000
```

Properties
The magnetization comes out at 0.00 μB per cell. As for the space group: Pm-3m, No. 221. As for the polymorph energy (0 for the lowest one): 0 meV/atom.